# 1
## Y3Mg2Cu (PBE-GGA)

Data for a relaxed Y3Mg2Cu crystal.

Cell and atoms, written as extended XYZ:
```
12
Lattice="-5.130 -3.120 -5.583 1.724 -3.228 7.336 -4.367 2.990 2.342" Properties=species:S:1:pos:R:3 pbc="T T T"
Y -0.062 -2.470 6.613
Y -7.711 -0.888 -2.518
Y -0.629 -0.873 3.517
Y -7.144 -2.486 0.579
Y -2.319 -4.022 4.387
Y -5.454 0.664 -0.291
Mg -1.086 -2.023 0.559
Mg -4.504 -2.830 2.366
Mg -2.320 -4.325 1.195
Mg -3.269 -0.528 1.730
Cu -3.810 -2.411 -0.451
Cu -3.963 -0.948 4.547
```

Computed properties:
space group: Cmcm (63)
energy: -4.341 eV/atom
energy of formation: 2.4 kcal/mol of atoms
E above lowest polymorph: 0.128 eV/atom

# 2
## Y2Mg7Cu3 (PBE-GGA)

Data for a relaxed Y2Mg7Cu3 crystal.

Cell and atoms, written as extended XYZ:
```
12
Lattice="10.966 0.031 0.019 9.482 5.508 0.019 9.482 2.568 4.872" Properties=species:S:1:pos:R:3 pbc="T T T"
Y 9.984 2.704 1.638
Y 19.946 5.402 3.272
Mg 14.965 4.053 2.455
Mg 12.971 2.021 2.908
Mg 12.971 3.513 0.444
Mg 12.218 4.801 2.908
Mg 16.959 6.086 2.001
Mg 17.712 3.305 2.001
Mg 16.959 4.593 4.466
Cu 0.000 0.000 0.000
Cu 4.995 1.353 0.819
Cu 24.935 6.753 4.090
```

Computed properties:
space group: R-3m (166)
energy: -2.646 eV/atom
energy of formation: 8.9 kcal/mol of atoms

# 3
## Y3Mg2Cu7 (PBE-GGA)

Data for a relaxed Y3Mg2Cu7 crystal.

Cell and atoms, written as extended XYZ:
```
12
Lattice="-0.496 -5.225 7.209 4.702 -4.017 6.424 1.429 -0.442 8.791" Properties=species:S:1:pos:R:3 pbc="T T T"
Y 0.000 0.000 0.000
Y 4.845 -8.326 19.280
Y 0.790 -1.358 3.144
Mg 3.758 -6.458 14.953
Mg 1.877 -3.226 7.470
Cu 2.818 -4.842 11.212
Cu 3.044 -4.217 13.676
Cu 4.692 -6.017 12.484
Cu 2.075 -6.625 12.879
Cu 2.591 -5.467 8.748
Cu 3.560 -3.058 9.545
Cu 0.944 -3.667 9.940
```

Computed properties:
space group: R-3m (166)
energy: -4.432 eV/atom
energy of formation: -3.7 kcal/mol of atoms

# 4
## Y2MgCu (PBE-GGA)

Data for a relaxed Y2MgCu crystal.

Cell and atoms, written as extended XYZ:
```
8
Lattice="4.338 6.874 3.582 -6.345 -6.150 -0.900 3.670 -4.361 3.924" Properties=species:S:1:pos:R:3 pbc="T T T"
Y 1.622 -5.265 4.824
Y 1.870 -0.545 3.736
Y -0.207 -3.092 2.869
Y 0.041 1.628 1.781
Mg 4.549 0.504 5.458
Mg -2.886 -4.141 1.147
Cu -3.587 -9.413 2.045
Cu 5.250 5.776 4.560
```

Computed properties:
space group: Cmcm (63)
energy: -4.683 eV/atom
energy of formation: -0.6 kcal/mol of atoms

# 5
## Y2MgCu6 (PBE-GGA)

Data for a relaxed Y2MgCu6 crystal.

Cell and atoms, written as extended XYZ:
```
9
Lattice="-2.883 -0.192 -4.678 -4.712 -1.113 2.968 -3.238 4.288 1.838" Properties=species:S:1:pos:R:3 pbc="T T T"
Y -7.732 1.955 -0.742
Y -3.101 1.028 0.869
Mg 0.000 0.000 0.000
Cu -5.388 3.005 0.988
Cu -7.485 2.524 2.303
Cu -6.036 0.630 1.485
Cu -5.446 -0.022 -0.861
Cu -3.349 0.459 -2.176
Cu -4.797 2.353 -1.358
```

Computed properties:
space group: C2/m (12)
energy: -4.490 eV/atom
energy of formation: -3.4 kcal/mol of atoms

# 6
## Y2Mg2Cu (PBE-GGA)

Data for a relaxed Y2Mg2Cu crystal.

Cell and atoms, written as extended XYZ:
```
10
Lattice="-6.403 3.387 6.598 4.373 -1.113 -8.697 -4.281 -5.196 -1.488" Properties=species:S:1:pos:R:3 pbc="T T T"
Y -4.573 0.341 1.529
Y -2.395 -4.060 -5.344
Y -4.563 -3.303 -2.427
Y -2.586 -0.636 -1.451
Mg -5.687 2.364 4.797
Mg 0.628 -3.765 -7.949
Mg -6.581 -2.765 0.107
Mg -0.942 -1.628 -4.115
Cu -8.086 -0.277 4.256
Cu 2.842 -1.349 -7.472
```

Computed properties:
space group: Cmc2_1 (36)
energy: -4.077 eV/atom
energy of formation: -0.8 kcal/mol of atoms
E above lowest polymorph: 0.078 eV/atom

# 7
## Y5Mg13Cu5 (PBE-GGA)

Data for a relaxed Y5Mg13Cu5 crystal.

Cell and atoms, written as extended XYZ:
```
46
Lattice="-5.365 5.744 5.598 2.150 -4.693 -8.153 -13.046 -20.118 8.142" Properties=species:S:1:pos:R:3 pbc="T T T"
Y -7.583 -4.816 4.046
Y -11.463 -18.547 3.280
Y -11.806 -13.988 5.586
Y -9.629 -11.479 3.879
Y -2.857 -1.767 -0.648
Y -6.632 -7.588 1.708
Y -4.798 -0.521 2.307
Y -13.404 -17.301 6.235
Y -4.455 -5.079 0.001
Y -8.678 -14.251 1.541
Mg -13.559 -20.459 5.130
Mg -11.573 -10.776 6.615
Mg -15.542 -11.134 11.463
Mg -11.103 -21.822 1.479
Mg -0.195 -3.179 -4.579
Mg -16.066 -15.889 10.166
Mg -13.697 -11.361 9.047
Mg -9.837 -4.460 7.028
Mg -2.276 -4.571 -2.533
Mg -7.162 -1.319 4.954
Mg -6.424 -14.607 -1.441
Mg -2.702 1.391 0.457
Mg -0.719 -7.934 -5.876
Mg -5.158 2.755 4.108
Mg -2.312 -10.391 -4.882
Mg -6.523 -10.059 4.071
Mg -2.564 -7.706 -3.460
Mg -8.778 -7.979 4.249
Mg -10.732 -7.662 6.837
Mg -7.483 -11.089 1.338
Mg -5.529 -11.405 -1.250
Mg -9.099 -17.748 0.633
Mg 0.000 0.000 0.000
Mg -4.688 -8.291 -1.028
Mg -13.949 -8.676 10.469
Mg -13.985 -14.497 8.120
Cu -6.887 1.328 5.696
Cu -16.575 -13.673 11.719
Cu -10.627 -15.625 3.430
Cu -5.634 -3.442 2.157
Cu -9.375 -20.395 -0.109
Cu -3.991 -12.033 -3.445
Cu -8.954 -1.860 6.986
Cu -7.308 -17.207 -1.399
Cu 0.314 -5.395 -6.132
Cu -12.271 -7.034 9.032
```

Computed properties:
space group: Cmcm (63)
energy: -3.368 eV/atom
energy of formation: -3.9 kcal/mol of atoms

# 8
## Y2MgCu2 (PBE-GGA)

Data for a relaxed Y2MgCu2 crystal.

Cell and atoms, written as extended XYZ:
```
10
Lattice="3.989 0.000 0.000 0.000 5.509 0.001 0.000 0.819 10.464" Properties=species:S:1:pos:R:3 pbc="T T T"
Y 2.992 0.676 1.318
Y 0.997 5.652 9.147
Y 2.992 1.776 4.721
Y 0.997 4.553 5.743
Mg 2.992 2.919 8.252
Mg 0.997 3.410 2.213
Cu 2.992 4.510 3.696
Cu 0.997 1.818 6.769
Cu 2.992 3.465 0.292
Cu 0.997 2.863 10.172
```

Computed properties:
space group: P2_1/m (11)
energy: -4.647 eV/atom
energy of formation: -2.4 kcal/mol of atoms
E above lowest polymorph: 0.146 eV/atom